1.
Below is crystalline KB2H6 at its relaxed geometry, with properties calculated at the PBE level.

Computed properties:
Calculated volume   10.0 A^3/atom
Energy above the most stable polymorph in this dataset   0.00 eV/f.u.

abc: 10.280 8.492 4.575
angles: 90.00 116.21 90.00
Space group C2/c (No. 15)
Asymmetric unit:
K1 0.000 0.249 0.250 (multiplicity 4)
B1 0.250 0.028 0.954 (multiplicity 8)
H1 0.136 0.402 0.930 (multiplicity 8)
H2 0.137 0.098 0.845 (multiplicity 8)
H3 0.250 0.114 0.449 (multiplicity 8)



2.
Below is crystalline VTc2Sn at its relaxed geometry, with properties calculated at the PBE level.

Computed properties:
Calculated volume   17.8 A^3/atom
Calculated formation energy   2.4 eV per formula unit

abc: 3.967 3.967 18.125
angles: 90.00 90.00 90.00
Space group I-42d (No. 122)
Asymmetric unit:
V1 0.000 0.000 0.000 (multiplicity 4)
Tc1 0.186 0.250 0.125 (multiplicity 8)
Sn1 0.000 0.000 0.500 (multiplicity 4)



3.
Below is crystalline Zr2MnAu at its relaxed geometry, with properties calculated at the PBE level.

Computed properties:
Calculated volume   18.4 A^3/atom
Energy above the most stable polymorph in this dataset   0.53 eV/f.u.
Calculated formation energy   -0.7 eV per formula unit

abc: 6.651 6.651 6.651
angles: 90.00 90.00 90.00
Space group Fm-3m (No. 225)
Asymmetric unit:
Zr1 0.250 0.250 0.250 (multiplicity 8)
Mn1 0.000 0.000 0.000 (multiplicity 4)
Au1 0.000 0.000 0.500 (multiplicity 4)



4.
Below is crystalline UCrS3 at its relaxed geometry, with properties calculated at the PBE level.

Computed properties:
Energy relative to the elements, uncorrected   -0.903 eV per atom
Calculated volume   24.7 A^3/atom
Energy above the most stable polymorph in this dataset   0.89 eV/f.u.

abc: 7.452 10.412 6.357
angles: 90.00 90.00 90.00
Space group Pnma (No. 62)
Asymmetric unit:
U1 0.000 0.000 0.000 (multiplicity 4)
Cr1 0.191 0.250 0.444 (multiplicity 4)
S1 0.004 0.250 0.145 (multiplicity 4)
S2 0.185 0.071 0.661 (multiplicity 8)



What did the third record say?
Below is crystalline Zr2MnAu at its relaxed geometry, with properties calculated at the PBE level.

Computed properties:
Calculated volume   18.4 A^3/atom
Energy above the most stable polymorph in this dataset   0.53 eV/f.u.
Calculated formation energy   -0.7 eV per formula unit

abc: 6.651 6.651 6.651
angles: 90.00 90.00 90.00
Space group Fm-3m (No. 225)
Asymmetric unit:
Zr1 0.250 0.250 0.250 (multiplicity 8)
Mn1 0.000 0.000 0.000 (multiplicity 4)
Au1 0.000 0.000 0.500 (multiplicity 4)



- Which value of calculated volume does entry 1 give?
  10.0 A^3/atom



- Which of these has the lowest calculated volume?
  KB2H6



Copy entry 1 word for word.
Below is crystalline KB2H6 at its relaxed geometry, with properties calculated at the PBE level.

Computed properties:
Calculated volume   10.0 A^3/atom
Energy above the most stable polymorph in this dataset   0.00 eV/f.u.

abc: 10.280 8.492 4.575
angles: 90.00 116.21 90.00
Space group C2/c (No. 15)
Asymmetric unit:
K1 0.000 0.249 0.250 (multiplicity 4)
B1 0.250 0.028 0.954 (multiplicity 8)
H1 0.136 0.402 0.930 (multiplicity 8)
H2 0.137 0.098 0.845 (multiplicity 8)
H3 0.250 0.114 0.449 (multiplicity 8)